[1]
## Ce2AlCu3 (PBE-GGA)

Data for a relaxed structure of Ce2AlCu3.

Unit cell a=5.489 b=5.489 c=8.212 alpha=90.00 beta=90.00 gamma=120.00
Site moments in Bohr magnetons follow the coordinates.
Positions (direct):
Ce 0.667 0.333 0.436  0.34
Ce 0.333 0.667 0.564  0.34
Ce 0.333 0.667 0.936  0.34
Ce 0.667 0.333 0.064  0.34
Al 0.000 0.000 0.500  -0.01
Al 0.000 0.000 0.000  -0.01
Cu 0.167 0.333 0.250  0.00
Cu 0.333 0.167 0.750  0.00
Cu 0.833 0.667 0.750  0.00
Cu 0.167 0.833 0.250  0.00
Cu 0.833 0.167 0.750  0.00
Cu 0.667 0.833 0.250  0.00

Computed properties:
Energy of formation (eV per atom): -0.25
Electronic total energy (eV/atom): -4.9005
V (Å³ per atom): 17.85

[2]
## Pu2HgGe3Pd4 (PBE-GGA)

Data for a relaxed structure of Pu2HgGe3Pd4.

Unit cell a=4.161 b=4.161 c=11.408 alpha=90.00 beta=90.00 gamma=90.00
Site moments in Bohr magnetons follow the coordinates.
Positions (direct):
Pu 0.500 0.000 0.243  5.28
Pu 0.000 0.500 0.757  5.28
Hg 0.500 0.500 0.500  0.01
Ge 0.000 0.000 0.500  -0.01
Ge 0.500 0.000 0.873  -0.01
Ge 0.000 0.500 0.127  -0.01
Pd 0.500 0.500 0.000  0.04
Pd 0.000 0.000 0.000  0.04
Pd 0.500 0.000 0.659  -0.03
Pd 0.000 0.500 0.341  -0.03

Computed properties:
Energy of formation (eV per atom): -0.48
Electronic total energy (eV/atom): -6.8405
V (Å³ per atom): 19.75

[3]
## ScAs2Os (PBE-GGA)

Data for a relaxed structure of ScAs2Os.

Unit cell a=4.556 b=4.555 c=3.164 alpha=90.00 beta=90.00 gamma=90.00
Positions (direct):
As 0.000 0.000 0.000
As 0.500 0.500 0.000
Os 0.500 0.000 0.500
Sc 0.000 0.500 0.500

Computed properties:
Offset from the most stable computed form (meV per atom): 167
Energy of formation (eV per atom): -0.25
Electronic total energy (eV/atom): -6.9642
V (Å³ per atom): 16.42

[4]
## Nd6TlTe4 (PBE-GGA)

Data for a relaxed structure of Nd6TlTe4.

Unit cell a=4.394 b=7.642 c=22.679 alpha=90.00 beta=90.00 gamma=106.71
Positions (direct):
Nd 0.500 0.000 0.000
Nd 0.500 0.000 0.500
Nd 0.061 0.122 0.333
Nd 0.939 0.878 0.667
Nd 0.939 0.878 0.833
Nd 0.061 0.122 0.167
Nd 0.771 0.541 0.400
Nd 0.229 0.459 0.600
Nd 0.229 0.459 0.900
Nd 0.771 0.541 0.100
Nd 0.333 0.666 0.250
Nd 0.667 0.334 0.750
Tl 0.673 0.346 0.250
Tl 0.327 0.654 0.750
Te 0.854 0.709 0.537
Te 0.420 0.840 0.126
Te 0.146 0.291 0.463
Te 0.580 0.160 0.874
Te 0.854 0.709 0.963
Te 0.146 0.291 0.037
Te 0.580 0.160 0.626
Te 0.420 0.840 0.374

Computed properties:
Electronic total energy (eV/atom): -5.0417
V (Å³ per atom): 33.16
Energy relative to the elements, uncorrected (meV/atom): -1083.5

[5]
## Mn3Ga5N12 (PBE-GGA)

Data for a relaxed structure of Mn3Ga5N12.

Unit cell a=10.742 b=10.742 c=10.742 alpha=109.47 beta=109.47 gamma=109.47
Site moments in Bohr magnetons follow the coordinates.
Positions (direct):
Mn 0.750 0.375 0.125  3.05
Mn 0.875 0.750 0.125  3.05
Mn 0.375 0.750 0.625  3.05
Mn 0.250 0.125 0.375  3.05
Mn 0.875 0.125 0.250  3.05
Mn 0.375 0.625 0.250  3.05
Mn 0.625 0.375 0.750  3.05
Mn 0.125 0.875 0.750  3.05
Mn 0.750 0.875 0.625  3.05
Mn 0.625 0.250 0.375  3.05
Mn 0.125 0.250 0.875  3.05
Mn 0.250 0.625 0.875  3.05
Ga 0.125 0.375 0.250  -0.01
Ga 0.000 0.500 0.000  -0.02
Ga 0.000 0.000 0.000  -0.02
Ga 0.375 0.250 0.125  -0.01
Ga 0.500 0.000 0.500  -0.02
Ga 0.500 0.500 0.000  -0.02
Ga 0.125 0.750 0.375  -0.01
Ga 0.750 0.125 0.875  -0.01
Ga 0.750 0.625 0.375  -0.01
Ga 0.375 0.125 0.750  -0.01
Ga 0.625 0.875 0.250  -0.01
Ga 0.500 0.500 0.500  -0.02
Ga 0.500 0.000 0.000  -0.02
Ga 0.000 0.000 0.500  -0.02
Ga 0.250 0.375 0.625  -0.01
Ga 0.250 0.875 0.125  -0.01
Ga 0.000 0.500 0.500  -0.02
Ga 0.875 0.250 0.625  -0.01
Ga 0.625 0.750 0.875  -0.01
Ga 0.875 0.625 0.750  -0.01
N 0.804 0.176 0.087  -0.10
N 0.283 0.587 0.411  -0.10
N 0.913 0.324 0.196  -0.10
N 0.587 0.304 0.176  -0.10
N 0.628 0.804 0.717  -0.10
N 0.913 0.589 0.217  -0.10
N 0.283 0.696 0.372  -0.10
N 0.089 0.872 0.176  -0.10
N 0.589 0.913 0.717  -0.10
N 0.804 0.628 0.217  -0.10
N 0.696 0.413 0.324  -0.10
N 0.783 0.911 0.087  -0.10
N 0.176 0.804 0.587  -0.10
N 0.324 0.411 0.128  -0.10
N 0.128 0.911 0.324  -0.10
N 0.372 0.176 0.589  -0.10
N 0.128 0.217 0.304  -0.10
N 0.413 0.717 0.089  -0.10
N 0.783 0.872 0.196  -0.10
N 0.176 0.372 0.089  -0.10
N 0.324 0.913 0.696  -0.10
N 0.589 0.676 0.372  -0.10
N 0.911 0.783 0.587  -0.10
N 0.696 0.283 0.872  -0.10
N 0.411 0.324 0.628  -0.10
N 0.089 0.217 0.413  -0.10
N 0.304 0.717 0.128  -0.10
N 0.217 0.128 0.804  -0.10
N 0.676 0.087 0.304  -0.10
N 0.824 0.628 0.911  -0.10
N 0.587 0.283 0.911  -0.10
N 0.628 0.824 0.411  -0.10
N 0.872 0.783 0.696  -0.10
N 0.872 0.089 0.676  -0.10
N 0.824 0.196 0.413  -0.10
N 0.217 0.089 0.913  -0.10
N 0.676 0.589 0.872  -0.10
N 0.411 0.087 0.283  -0.10
N 0.196 0.372 0.783  -0.10
N 0.304 0.587 0.676  -0.10
N 0.911 0.128 0.824  -0.10
N 0.717 0.304 0.628  -0.10
N 0.413 0.696 0.824  -0.10
N 0.087 0.411 0.783  -0.10
N 0.372 0.196 0.283  -0.10
N 0.087 0.676 0.804  -0.10
N 0.717 0.413 0.589  -0.10
N 0.196 0.824 0.913  -0.10

Computed properties:
Electronic total energy (eV/atom): -6.7182
V (Å³ per atom): 11.93
Energy relative to the elements, uncorrected (meV/atom): 409.2

[6]
## TaTi2Co (PBE-GGA)

Data for a relaxed structure of TaTi2Co.

Unit cell a=6.976 b=6.976 c=5.602 alpha=51.49 beta=51.49 gamma=90.00
Positions (direct):
Ti 0.578 0.125 0.250
Ti 0.172 0.625 0.250
Ti 0.375 0.422 0.750
Ti 0.875 0.828 0.750
Co 0.500 0.500 0.000
Co 0.250 0.750 0.500
Ta 0.000 0.000 0.000
Ta 0.750 0.250 0.500

Computed properties:
Offset from the most stable computed form (meV per atom): 366
Energy of formation (eV per atom): 0.18
Electronic total energy (eV/atom): -8.5069
V (Å³ per atom): 16.15

[7]
## Ac5ZnHg2 (PBE-GGA)

Data for a relaxed structure of Ac5ZnHg2.

Unit cell a=8.196 b=8.196 c=10.381 alpha=113.25 beta=113.25 gamma=90.00
Positions (direct):
Ac 0.517 0.676 0.693
Ac 0.824 0.983 0.307
Ac 0.000 0.000 0.000
Ac 0.500 0.500 0.000
Ac 0.176 0.017 0.693
Ac 0.676 0.176 0.693
Ac 0.017 0.517 0.693
Ac 0.324 0.824 0.307
Ac 0.983 0.483 0.307
Ac 0.483 0.324 0.307
Zn 0.750 0.750 0.500
Zn 0.250 0.250 0.500
Hg 0.126 0.374 0.000
Hg 0.626 0.126 0.000
Hg 0.374 0.874 0.000
Hg 0.874 0.626 0.000

Computed properties:
Energy of formation (eV per atom): -0.24
Electronic total energy (eV/atom): -3.0435
V (Å³ per atom): 36.16

[8]
## TmMgSnPt (PBE-GGA)

Data for a relaxed structure of TmMgSnPt.

Unit cell a=4.908 b=4.908 c=4.908 alpha=60.00 beta=60.00 gamma=60.00
Positions (direct):
Mg 0.250 0.250 0.250
Tm 0.750 0.750 0.750
Sn 0.000 0.000 0.000
Pt 0.500 0.500 0.500

Computed properties:
Energy of formation (eV per atom): -0.70
Electronic total energy (eV/atom): -4.7255
V (Å³ per atom): 20.90